[1]
# Ba4Ti3O10

A crystal of Ba4Ti3O10 relaxed with PBEsol (SCAN, Alexandria).

a b c (Å): 4.0017 4.0017 29.1973
angles (deg): 90.00 90.00 90.05
Closest atoms and distances in Å follow each position.
Sites, in units of the cell vectors:
Ba: 0.0026 0.9974 0.9325  12 O 2.80-2.86
Ba: 0.0045 0.9955 0.7985  9 O 2.73-2.88
Ba: 0.4955 0.5045 0.2985  9 O 2.73-2.88
Ba: 0.4974 0.5026 0.4325  12 O 2.80-2.86
Ba: 0.5026 0.4974 0.5675  12 O 2.80-2.86
Ba: 0.5045 0.4955 0.7015  9 O 2.73-2.88
Ba: 0.9955 0.0045 0.2015  9 O 2.73-2.88
Ba: 0.9974 0.0026 0.0675  12 O 2.80-2.86
Ti: 0.0000 0.0000 0.5000  6 O 1.98-2.00
Ti: 0.0142 0.9858 0.6375  6 O 1.91-2.09
Ti: 0.4858 0.5142 0.1375  6 O 1.91-2.09
Ti: 0.5000 0.5000 0.0000  6 O 1.98-2.00
Ti: 0.5142 0.4858 0.8625  6 O 1.91-2.09
Ti: 0.9858 0.0142 0.3625  6 O 1.91-2.09
O: 0.0000 0.5000 0.0000  2 Ti 2.00
O: 0.0000 0.5000 0.5000  2 Ti 2.00
O: 0.0019 0.9981 0.4320  2 Ti 1.98-2.03
O: 0.0026 0.4922 0.3631  2 Ti 1.91-2.09
O: 0.0036 0.9964 0.2961  1 Ti 1.94
O: 0.0078 0.4974 0.1369  2 Ti 1.91-2.09
O: 0.4922 0.0026 0.6369  2 Ti 1.91-2.09
O: 0.4964 0.5036 0.7961  1 Ti 1.94
O: 0.4974 0.0078 0.8631  2 Ti 1.91-2.09
O: 0.4981 0.5019 0.9320  2 Ti 1.98-2.03
O: 0.5000 0.0000 0.0000  2 Ti 2.00
O: 0.5000 0.0000 0.5000  2 Ti 2.00
O: 0.5019 0.4981 0.0680  2 Ti 1.98-2.03
O: 0.5026 0.9922 0.1369  2 Ti 1.91-2.09
O: 0.5036 0.4964 0.2039  1 Ti 1.94
O: 0.5078 0.9974 0.3631  2 Ti 1.91-2.09
O: 0.9922 0.5026 0.8631  2 Ti 1.91-2.09
O: 0.9964 0.0036 0.7039  1 Ti 1.94
O: 0.9974 0.5078 0.6369  2 Ti 1.91-2.09
O: 0.9981 0.0019 0.5680  2 Ti 1.98-2.03

Results
M_tot	0.00	μB/cell
SG	Cmce (64)
offset from the most stable computed form	5	kJ/mol of formula units
uncorrected energy	-650.5	eV per cell
D(E_F)	0.00	states/eV/atom

***

[2]
# Ba3TiZnWO9

A crystal of Ba3TiZnWO9 relaxed with PBEsol (SCAN, Alexandria).

a b c (Å): 5.7932 5.7932 14.1707
angles (deg): 90.00 90.00 120.00
Closest atoms and distances in Å follow each position.
Sites, in units of the cell vectors:
Ba: 0.0000 0.0000 0.0000  12 O 2.86-2.95
Ba: 0.0000 0.0000 0.5000  12 O 2.86-2.95
Ba: 0.3333 0.6667 0.1627  12 O 2.86-2.98
Ba: 0.3333 0.6667 0.8523  12 O 2.87-3.07
Ba: 0.6667 0.3333 0.3523  12 O 2.87-3.07
Ba: 0.6667 0.3333 0.6627  12 O 2.86-2.98
Ti: 0.3333 0.6667 0.3983  3 O 1.83
Ti: 0.6667 0.3333 0.8983  3 O 1.83
Zn: 0.0000 0.0000 0.2582  6 O 2.06-2.16
Zn: 0.0000 0.0000 0.7582  6 O 2.06-2.16
W: 0.3333 0.6667 0.5983  6 O 1.89-1.98
W: 0.6667 0.3333 0.0983  6 O 1.89-1.98
O: 0.0331 0.5166 0.5078  1 W 1.98, 1 Ti 2.16
O: 0.1711 0.3423 0.3386  1 Ti 1.83
O: 0.1711 0.8289 0.3386  1 Ti 1.83
O: 0.1732 0.3463 0.6679  1 W 1.89
O: 0.1732 0.8268 0.6679  1 W 1.89
O: 0.3423 0.1711 0.8386  1 Ti 1.83
O: 0.3463 0.1732 0.1679  1 W 1.89
O: 0.4834 0.5166 0.5078  1 W 1.98, 1 Ti 2.16
O: 0.4834 0.9669 0.5078  1 W 1.98, 1 Ti 2.16
O: 0.5166 0.0331 0.0078  1 W 1.98, 1 Ti 2.16
O: 0.5166 0.4834 0.0078  1 W 1.98, 1 Ti 2.16
O: 0.6537 0.8268 0.6679  1 W 1.89
O: 0.6577 0.8289 0.3386  1 Ti 1.83
O: 0.8268 0.1732 0.1679  1 W 1.89
O: 0.8268 0.6537 0.1679  1 W 1.89
O: 0.8289 0.1711 0.8386  1 Ti 1.83
O: 0.8289 0.6577 0.8386  1 Ti 1.83
O: 0.9669 0.4834 0.0078  1 W 1.98, 1 Ti 2.16

Results
M_tot	0.00	μB/cell
SG	P6_3mc (186)
uncorrected energy	-634.8	eV per cell
D(E_F)	0.00	states/eV/atom

***

[3]
# Ba6Y2Ti4O17

A crystal of Ba6Y2Ti4O17 relaxed with PBEsol (SCAN, Alexandria).

a b c (Å): 5.9075 5.9075 29.6612
angles (deg): 90.00 90.00 120.00
Closest atoms and distances in Å follow each position.
Sites, in units of the cell vectors:
Ba: 0.0000 0.0000 0.0000  6 O 2.86
Ba: 0.0000 0.0000 0.2500  12 O 2.96-2.98
Ba: 0.0000 0.0000 0.5000  6 O 2.86
Ba: 0.0000 0.0000 0.7500  12 O 2.96-2.98
Ba: 0.3333 0.6667 0.0902  1 O 2.52
Ba: 0.3333 0.6667 0.4098  1 O 2.52
Ba: 0.3333 0.6667 0.6841  9 O 2.71-2.99
Ba: 0.3333 0.6667 0.8159  9 O 2.71-2.99
Ba: 0.6667 0.3333 0.1841  9 O 2.71-2.99
Ba: 0.6667 0.3333 0.3159  9 O 2.71-2.99
Ba: 0.6667 0.3333 0.5902  1 O 2.52
Ba: 0.6667 0.3333 0.9098  1 O 2.52
Y: 0.0000 0.0000 0.1268  6 O 2.20-2.25
Y: 0.0000 0.0000 0.3732  6 O 2.20-2.25
Y: 0.0000 0.0000 0.6268  6 O 2.20-2.25
Y: 0.0000 0.0000 0.8732  6 O 2.20-2.25
Ti: 0.3333 0.6667 0.2040  6 O 1.91-2.05
Ti: 0.3333 0.6667 0.2960  6 O 1.91-2.05
Ti: 0.3333 0.6667 0.5544  4 O 1.77-1.83
Ti: 0.3333 0.6667 0.9456  4 O 1.77-1.83
Ti: 0.6667 0.3333 0.0544  4 O 1.77-1.83
Ti: 0.6667 0.3333 0.4456  4 O 1.77-1.83
Ti: 0.6667 0.3333 0.7040  6 O 1.91-2.05
Ti: 0.6667 0.3333 0.7960  6 O 1.91-2.05
O: 0.0347 0.5173 0.2500  2 Ti 2.05
O: 0.1673 0.3346 0.5774  1 Ti 1.83
O: 0.1673 0.3346 0.9226  1 Ti 1.83
O: 0.1673 0.8327 0.5774  1 Ti 1.83
O: 0.1673 0.8327 0.9226  1 Ti 1.83
O: 0.1751 0.3502 0.1698  1 Ti 1.91
O: 0.1751 0.3502 0.3302  1 Ti 1.91
O: 0.1751 0.8249 0.1698  1 Ti 1.91
O: 0.1751 0.8249 0.3302  1 Ti 1.91
O: 0.3333 0.6667 0.0052  1 Ti 1.77
O: 0.3333 0.6667 0.4948  1 Ti 1.77
O: 0.3346 0.1673 0.0774  1 Ti 1.83
O: 0.3346 0.1673 0.4226  1 Ti 1.83
O: 0.3502 0.1751 0.6698  1 Ti 1.91
O: 0.3502 0.1751 0.8302  1 Ti 1.91
O: 0.4827 0.5173 0.2500  2 Ti 2.05
O: 0.4827 0.9653 0.2500  2 Ti 2.05
O: 0.5173 0.0347 0.7500  2 Ti 2.05
O: 0.5173 0.4827 0.7500  2 Ti 2.05
O: 0.6498 0.8249 0.1698  1 Ti 1.91
O: 0.6498 0.8249 0.3302  1 Ti 1.91
O: 0.6654 0.8327 0.5774  1 Ti 1.83
O: 0.6654 0.8327 0.9226  1 Ti 1.83
O: 0.6667 0.3333 0.5052  1 Ti 1.77
O: 0.6667 0.3333 0.9948  1 Ti 1.77
O: 0.8249 0.1751 0.6698  1 Ti 1.91
O: 0.8249 0.1751 0.8302  1 Ti 1.91
O: 0.8249 0.6498 0.6698  1 Ti 1.91
O: 0.8249 0.6498 0.8302  1 Ti 1.91
O: 0.8327 0.1673 0.0774  1 Ti 1.83
O: 0.8327 0.1673 0.4226  1 Ti 1.83
O: 0.8327 0.6654 0.0774  1 Ti 1.83
O: 0.8327 0.6654 0.4226  1 Ti 1.83
O: 0.9653 0.4827 0.7500  2 Ti 2.05

Results
M_tot	0.00	μB/cell
SG	P6_3/mmc (194)
uncorrected energy	-1125.5	eV per cell
D(E_F)	0.00	states/eV/atom